Record 1
This record from Alexandria describes an optimized crystal structure of In4IrRh. The functional is GGA-PBE.

```
In4IrRh
1.0
-0.828 -4.373 1.360
4.556 -0.927 -0.209
0.608 1.684 5.783
In Ir Rh
4 1 1
Direct
0.500 0.000 0.251
0.000 0.500 0.251
0.000 0.500 0.749
0.500 0.000 0.749
0.000 0.000 0.000
0.000 0.000 0.500
```

Computed properties:
excess energy over the best structure of this formula in the dataset	0.0	kJ/mol of formula units

=====

Record 2
This record from Alexandria describes an optimized crystal structure of Pr2Ho5Er5. The functional is GGA-PBE.

```
Pr2Ho5Er5
1.0
-3.197 -3.181 -2.193
4.082 -6.332 -2.498
-1.281 -7.675 7.265
Pr Ho Er
2 5 5
Direct
0.917 0.417 0.749
0.083 0.583 0.251
0.500 0.500 0.500
0.334 0.332 0.000
0.415 0.919 0.250
0.585 0.081 0.750
0.666 0.668 0.000
0.832 0.836 0.500
0.248 0.753 0.751
0.752 0.247 0.249
0.168 0.164 0.500
0.000 0.000 0.000
```

=====

Record 3
This record from Alexandria describes an optimized crystal structure of Hg2AsW. The functional is GGA-PBE.

```
Hg2AsW
1.0
2.917 -0.029 0.000
-1.007 2.738 0.000
0.000 0.000 11.314
As Hg W
1 2 1
Direct
0.500 0.500 0.686
0.000 0.000 0.006
0.500 0.500 0.293
0.000 0.000 0.516
```

=====

Record 4
This record from Alexandria describes an optimized crystal structure of PmGe4Ru. The functional is GGA-PBE.

```
PmGe4Ru
1.0
-1.464 5.285 3.164
1.112 -3.241 5.927
6.053 -0.827 -2.153
Pm Ge Ru
2 8 2
Direct
0.902 0.750 0.000
0.098 0.250 0.000
0.577 0.090 0.896
0.681 0.410 0.104
0.423 0.910 0.104
0.319 0.590 0.896
0.870 0.855 0.506
0.364 0.645 0.494
0.130 0.145 0.494
0.636 0.355 0.506
0.500 0.000 0.500
0.000 0.500 0.500
```

=====

DFT total energy in eV per atom, matching the order above: -4.7453, -4.5810, -4.1540, -5.7438